Entry 1:
# TbMgTlCl6

An optimized crystal structure of TbMgTlCl6 (PBE-GGA, Alexandria).

Calculated values
* uncorrected energy: -36.60 eV/f.u.
* raw formation energy: -1.882 eV/atom
* space group: P-31c (163)
* Fermi-level density of states: 0.0 states/eV/cell

Lattice parameters (Å, degrees): 6.8126 6.8126 14.1219 90.00 90.00 120.00
Fractional coordinates of all 18 atoms:
Tb (0.3333, 0.6667, 0.2500)
Tb (0.6667, 0.3333, 0.7500)
Mg (0.3333, 0.6667, 0.7500)
Mg (0.6667, 0.3333, 0.2500)
Tl (0.0000, 0.0000, 0.0000)
Tl (0.0000, 0.0000, 0.5000)
Cl (0.0145, 0.3817, 0.6455)
Cl (0.0145, 0.6328, 0.8545)
Cl (0.3672, 0.3817, 0.8545)
Cl (0.3672, 0.9855, 0.6455)
Cl (0.3817, 0.0145, 0.1455)
Cl (0.3817, 0.3672, 0.3545)
Cl (0.6183, 0.6328, 0.6455)
Cl (0.6183, 0.9855, 0.8545)
Cl (0.6328, 0.0145, 0.3545)
Cl (0.6328, 0.6183, 0.1455)
Cl (0.9855, 0.3672, 0.1455)
Cl (0.9855, 0.6183, 0.3545)

Entry 2:
# MgTcCl4

An optimized crystal structure of MgTcCl4 (PBE-GGA, Alexandria).

Calculated values
* uncorrected energy: -14.86 eV/f.u.
* raw formation energy: 0.748 eV/atom
* space group: F-43m (216)
* Fermi-level density of states: 4.7 states/eV/cell

Lattice parameters (Å, degrees): 5.8707 5.8707 5.8707 60.00 60.00 60.00
Fractional coordinates of all 6 atoms:
Mg (0.0000, 0.0000, 0.0000)
Tc (0.7500, 0.7500, 0.7500)
Cl (0.3750, 0.3750, 0.3750)
Cl (0.3750, 0.3750, 0.8750)
Cl (0.3750, 0.8750, 0.3750)
Cl (0.8750, 0.3750, 0.3750)

Entry 3:
# MgTcCl2

An optimized crystal structure of MgTcCl2 (PBE-GGA, Alexandria).

Calculated values
* uncorrected energy: -15.65 eV/f.u.
* raw formation energy: 0.001 eV/atom
* space group: Cmmm (65)
* Fermi-level density of states: 6.5 states/eV/cell

Lattice parameters (Å, degrees): 3.0328 5.6980 9.1362 90.00 90.00 90.00
Fractional coordinates of all 8 atoms:
Mg (0.0000, 0.0000, 0.0000)
Mg (0.5000, 0.5000, 0.0000)
Tc (0.0000, 0.0000, 0.5000)
Tc (0.5000, 0.5000, 0.5000)
Cl (0.0000, 0.5000, 0.2938)
Cl (0.0000, 0.5000, 0.7062)
Cl (0.5000, 0.0000, 0.2938)
Cl (0.5000, 0.0000, 0.7062)

Entry 4:
# MgTcCl2

An optimized crystal structure of MgTcCl2 (PBE-GGA, Alexandria).

Calculated values
* uncorrected energy: -16.83 eV/f.u.
* raw formation energy: -0.295 eV/atom
* space group: Immm (71)
* Fermi-level density of states: 3.9 states/eV/cell

Lattice parameters (Å, degrees): 3.1685 4.5348 13.6497 90.00 90.00 90.00
Fractional coordinates of all 8 atoms:
Mg (0.0000, 0.0000, 0.0000)
Mg (0.5000, 0.5000, 0.5000)
Tc (0.0000, 0.0000, 0.5000)
Tc (0.5000, 0.5000, 0.0000)
Cl (0.0000, 0.5000, 0.1356)
Cl (0.0000, 0.5000, 0.8644)
Cl (0.5000, 0.0000, 0.3644)
Cl (0.5000, 0.0000, 0.6356)

Entry 5:
# MgTc2Cl

An optimized crystal structure of MgTc2Cl (PBE-GGA, Alexandria).

Calculated values
* uncorrected energy: -23.10 eV/f.u.
* raw formation energy: 0.268 eV/atom
* space group: I4/mmm (139)
* Fermi-level density of states: 4.2 states/eV/cell

Lattice parameters (Å, degrees): 3.5187 3.5187 11.4046 90.00 90.00 90.00
Fractional coordinates of all 8 atoms:
Mg (0.0000, 0.0000, 0.0000)
Mg (0.5000, 0.5000, 0.5000)
Tc (0.0000, 0.0000, 0.2656)
Tc (0.0000, 0.0000, 0.7344)
Tc (0.5000, 0.5000, 0.2344)
Tc (0.5000, 0.5000, 0.7656)
Cl (0.0000, 0.0000, 0.5000)
Cl (0.5000, 0.5000, 0.0000)

Entry 6:
# Mg3TcCl

An optimized crystal structure of Mg3TcCl (PBE-GGA, Alexandria).

Calculated values
* uncorrected energy: -14.21 eV/f.u.
* raw formation energy: 0.557 eV/atom
* space group: Pm-3m (221)
* Fermi-level density of states: 0.0 states/eV/cell

Lattice parameters (Å, degrees): 4.6845 4.6845 4.6845 90.00 90.00 90.00
Fractional coordinates of all 5 atoms:
Mg (0.0000, 0.0000, 0.5000)
Mg (0.0000, 0.5000, 0.0000)
Mg (0.5000, 0.0000, 0.0000)
Tc (0.5000, 0.5000, 0.5000)
Cl (0.0000, 0.0000, 0.0000)

Entry 7:
# MgTcCl2

An optimized crystal structure of MgTcCl2 (PBE-GGA, Alexandria).

Calculated values
* uncorrected energy: -15.07 eV/f.u.
* raw formation energy: 0.146 eV/atom
* space group: I-4m2 (119)
* Fermi-level density of states: 5.6 states/eV/cell

Lattice parameters (Å, degrees): 3.6714 3.6714 11.5941 90.00 90.00 90.00
Fractional coordinates of all 8 atoms:
Mg (0.0000, 0.0000, 0.0000)
Mg (0.5000, 0.5000, 0.5000)
Tc (0.0000, 0.5000, 0.7500)
Tc (0.5000, 0.0000, 0.2500)
Cl (0.0000, 0.0000, 0.5000)
Cl (0.0000, 0.5000, 0.2500)
Cl (0.5000, 0.0000, 0.7500)
Cl (0.5000, 0.5000, 0.0000)

Entry 8:
# MgTc2Cl

An optimized crystal structure of MgTc2Cl (PBE-GGA, Alexandria).

Calculated values
* uncorrected energy: -22.02 eV/f.u.
* raw formation energy: 0.539 eV/atom
* space group: Imm2 (44)
* Fermi-level density of states: 7.9 states/eV/cell

Lattice parameters (Å, degrees): 2.9445 4.6963 9.3537 90.00 90.00 90.00
Fractional coordinates of all 8 atoms:
Mg (0.0000, 0.0000, 0.0000)
Mg (0.5000, 0.5000, 0.5000)
Tc (0.0000, 0.0000, 0.5172)
Tc (0.0000, 0.5000, 0.7925)
Tc (0.5000, 0.0000, 0.2925)
Tc (0.5000, 0.5000, 0.0172)
Cl (0.0000, 0.5000, 0.2334)
Cl (0.5000, 0.0000, 0.7334)

Entry 9:
# MgTc3Cl

An optimized crystal structure of MgTc3Cl (PBE-GGA, Alexandria).

Calculated values
* uncorrected energy: -23.23 eV/f.u.
* raw formation energy: 2.262 eV/atom
* space group: Pm-3m (221)
* Fermi-level density of states: 5.1 states/eV/cell

Lattice parameters (Å, degrees): 4.9366 4.9366 4.9366 90.00 90.00 90.00
Fractional coordinates of all 5 atoms:
Mg (0.0000, 0.0000, 0.0000)
Tc (0.0000, 0.0000, 0.5000)
Tc (0.0000, 0.5000, 0.0000)
Tc (0.5000, 0.0000, 0.0000)
Cl (0.5000, 0.5000, 0.5000)

Entry 10:
# MgTcCl2

An optimized crystal structure of MgTcCl2 (PBE-GGA, Alexandria).

Calculated values
* uncorrected energy: -14.74 eV/f.u.
* raw formation energy: 0.228 eV/atom
* space group: P4/mmm (123)
* Fermi-level density of states: 1.1 states/eV/cell

Lattice parameters (Å, degrees): 4.6255 4.6255 3.5246 90.00 90.00 90.00
Fractional coordinates of all 4 atoms:
Mg (0.0000, 0.0000, 0.0000)
Tc (0.5000, 0.5000, 0.0000)
Cl (0.0000, 0.5000, 0.5000)
Cl (0.5000, 0.0000, 0.5000)

Entry 11:
# MgTcCl2

An optimized crystal structure of MgTcCl2 (PBE-GGA, Alexandria).

Calculated values
* uncorrected energy: -15.02 eV/f.u.
* raw formation energy: 0.158 eV/atom
* space group: Fm-3m (225)
* Fermi-level density of states: 6.9 states/eV/cell

Lattice parameters (Å, degrees): 6.5481 6.5481 6.5481 90.00 90.00 90.00
Fractional coordinates of all 16 atoms:
Mg (0.0000, 0.0000, 0.0000)
Mg (0.0000, 0.5000, 0.5000)
Mg (0.5000, 0.0000, 0.5000)
Mg (0.5000, 0.5000, 0.0000)
Tc (0.0000, 0.0000, 0.5000)
Tc (0.0000, 0.5000, 0.0000)
Tc (0.5000, 0.0000, 0.0000)
Tc (0.5000, 0.5000, 0.5000)
Cl (0.2500, 0.2500, 0.2500)
Cl (0.2500, 0.2500, 0.7500)
Cl (0.2500, 0.7500, 0.2500)
Cl (0.2500, 0.7500, 0.7500)
Cl (0.7500, 0.2500, 0.2500)
Cl (0.7500, 0.2500, 0.7500)
Cl (0.7500, 0.7500, 0.2500)
Cl (0.7500, 0.7500, 0.7500)

Entry 12:
# MgTc3Cl

An optimized crystal structure of MgTc3Cl (PBE-GGA, Alexandria).

Calculated values
* uncorrected energy: -30.07 eV/f.u.
* raw formation energy: 0.894 eV/atom
* space group: Pm-3m (221)
* Fermi-level density of states: 4.9 states/eV/cell

Lattice parameters (Å, degrees): 4.3799 4.3799 4.3799 90.00 90.00 90.00
Fractional coordinates of all 5 atoms:
Mg (0.0000, 0.0000, 0.0000)
Tc (0.0000, 0.5000, 0.5000)
Tc (0.5000, 0.0000, 0.5000)
Tc (0.5000, 0.5000, 0.0000)
Cl (0.5000, 0.5000, 0.5000)

Entry 13:
# MgTc2Cl

An optimized crystal structure of MgTc2Cl (PBE-GGA, Alexandria).

Calculated values
* uncorrected energy: -24.84 eV/f.u.
* raw formation energy: -0.168 eV/atom
* space group: Pm (6)
* Fermi-level density of states: 1.8 states/eV/cell

Lattice parameters (Å, degrees): 3.0586 3.0157 7.5799 90.00 90.72 90.00
Fractional coordinates of all 4 atoms:
Mg (0.0000, 0.0000, 0.0000)
Tc (0.4902, 0.5000, 0.7482)
Tc (0.9843, 0.0000, 0.5656)
Cl (0.9717, 0.5000, 0.2822)

Entry 14:
# MgTc2Cl

An optimized crystal structure of MgTc2Cl (PBE-GGA, Alexandria).

Calculated values
* uncorrected energy: -21.74 eV/f.u.
* raw formation energy: 0.608 eV/atom
* space group: Cmmm (65)
* Fermi-level density of states: 10.7 states/eV/cell

Lattice parameters (Å, degrees): 2.9139 4.9277 8.9303 90.00 90.00 90.00
Fractional coordinates of all 8 atoms:
Mg (0.0000, 0.0000, 0.0000)
Mg (0.5000, 0.5000, 0.0000)
Tc (0.0000, 0.5000, 0.2640)
Tc (0.0000, 0.5000, 0.7360)
Tc (0.5000, 0.0000, 0.2640)
Tc (0.5000, 0.0000, 0.7360)
Cl (0.0000, 0.0000, 0.5000)
Cl (0.5000, 0.5000, 0.5000)

Entry 15:
# MgTcCl2

An optimized crystal structure of MgTcCl2 (PBE-GGA, Alexandria).

Calculated values
* uncorrected energy: -16.33 eV/f.u.
* raw formation energy: -0.168 eV/atom
* space group: Cm (8)
* Fermi-level density of states: 3.1 states/eV/cell

Lattice parameters (Å, degrees): 10.9927 3.1474 5.3774 90.00 90.12 90.00
Fractional coordinates of all 8 atoms:
Mg (0.0000, 0.0000, 0.0000)
Mg (0.5000, 0.5000, 0.0000)
Tc (0.1525, 0.5000, 0.2986)
Tc (0.6525, 0.0000, 0.2986)
Cl (0.0049, 0.5000, 0.6149)
Cl (0.2961, 0.0000, 0.0632)
Cl (0.5049, 0.0000, 0.6149)
Cl (0.7961, 0.5000, 0.0632)

Entry 16:
# MgTc2Cl

An optimized crystal structure of MgTc2Cl (PBE-GGA, Alexandria).

Calculated values
* uncorrected energy: -19.92 eV/f.u.
* raw formation energy: 1.062 eV/atom
* space group: Fm-3m (225)
* Fermi-level density of states: 21.0 states/eV/cell

Lattice parameters (Å, degrees): 6.2498 6.2498 6.2498 90.00 90.00 90.00
Fractional coordinates of all 16 atoms:
Mg (0.0000, 0.0000, 0.0000)
Mg (0.0000, 0.5000, 0.5000)
Mg (0.5000, 0.0000, 0.5000)
Mg (0.5000, 0.5000, 0.0000)
Tc (0.2500, 0.2500, 0.2500)
Tc (0.2500, 0.2500, 0.7500)
Tc (0.2500, 0.7500, 0.2500)
Tc (0.2500, 0.7500, 0.7500)
Tc (0.7500, 0.2500, 0.2500)
Tc (0.7500, 0.2500, 0.7500)
Tc (0.7500, 0.7500, 0.2500)
Tc (0.7500, 0.7500, 0.7500)
Cl (0.0000, 0.0000, 0.5000)
Cl (0.0000, 0.5000, 0.0000)
Cl (0.5000, 0.0000, 0.0000)
Cl (0.5000, 0.5000, 0.5000)

Entry 17:
# MgTc2Cl

An optimized crystal structure of MgTc2Cl (PBE-GGA, Alexandria).

Calculated values
* uncorrected energy: -22.34 eV/f.u.
* raw formation energy: 0.459 eV/atom
* space group: P4/mmm (123)
* Fermi-level density of states: 2.4 states/eV/cell

Lattice parameters (Å, degrees): 3.4964 3.4964 6.2173 90.00 90.00 90.00
Fractional coordinates of all 4 atoms:
Mg (0.0000, 0.0000, 0.0000)
Tc (0.0000, 0.5000, 0.5000)
Tc (0.5000, 0.0000, 0.5000)
Cl (0.5000, 0.5000, 0.0000)

Entry 18:
# MgTcCl2

An optimized crystal structure of MgTcCl2 (PBE-GGA, Alexandria).

Calculated values
* uncorrected energy: -17.12 eV/f.u.
* raw formation energy: -0.367 eV/atom
* space group: Pm (6)
* Fermi-level density of states: 2.1 states/eV/cell

Lattice parameters (Å, degrees): 3.6819 3.1926 7.7301 90.00 103.60 90.00
Fractional coordinates of all 4 atoms:
Mg (0.0000, 0.0000, 0.0000)
Tc (0.4160, 0.5000, 0.8303)
Cl (0.3017, 0.0000, 0.6008)
Cl (0.5873, 0.5000, 0.1647)

Entry 19:
# MgTc2Cl

An optimized crystal structure of MgTc2Cl (PBE-GGA, Alexandria).

Calculated values
* uncorrected energy: -22.49 eV/f.u.
* raw formation energy: 0.422 eV/atom
* space group: Immm (71)
* Fermi-level density of states: 8.7 states/eV/cell

Lattice parameters (Å, degrees): 2.8731 4.5138 9.7784 90.00 90.00 90.00
Fractional coordinates of all 8 atoms:
Mg (0.0000, 0.0000, 0.0000)
Mg (0.5000, 0.5000, 0.5000)
Tc (0.0000, 0.5000, 0.2222)
Tc (0.0000, 0.5000, 0.7778)
Tc (0.5000, 0.0000, 0.2778)
Tc (0.5000, 0.0000, 0.7222)
Cl (0.0000, 0.0000, 0.5000)
Cl (0.5000, 0.5000, 0.0000)

Entry 20:
# MgTcCl2

An optimized crystal structure of MgTcCl2 (PBE-GGA, Alexandria).

Calculated values
* uncorrected energy: -17.01 eV/f.u.
* raw formation energy: -0.338 eV/atom
* space group: P4mm (99)
* Fermi-level density of states: 0.8 states/eV/cell

Lattice parameters (Å, degrees): 3.0738 3.0738 8.4530 90.00 90.00 90.00
Fractional coordinates of all 4 atoms:
Mg (0.0000, 0.0000, 0.0000)
Tc (0.5000, 0.5000, 0.2570)
Cl (0.0000, 0.0000, 0.3940)
Cl (0.5000, 0.5000, 0.8274)